Record 1
SmPuBi2, relaxed, DFT PBE; ΔE to the lowest computed polymorph = 99.3 meV/atom
1.0
4.498 0.000 0.000
-2.249 3.896 0.002
0.000 -0.005 7.869
Sm Pu Bi
1 1 2
direct
0.000 0.500 0.500
0.000 0.500 0.000
0.667 0.833 0.751
0.333 0.167 0.249

***

Record 2
This record from Alexandria via LeMat-Bulk describes SmPu2Bi after structural relaxation. The functional is PBE.

POSCAR file:
```
SmPu2Bi
1.0
-4.213 -0.303 -3.038
-2.612 -1.026 3.725
-0.816 4.542 0.679
Bi Sm Pu
1 1 2
direct
0.500 0.000 0.000
0.500 0.500 0.500
0.000 0.000 0.500
0.000 0.500 0.000
```

***

Record 3
SmPuBi2, relaxed, DFT PBE; ΔE to the lowest computed polymorph = 137.8 meV/atom
1.0
5.541 0.000 0.000
2.770 4.798 0.000
2.770 1.599 4.524
Bi Sm Pu
2 1 1
direct
0.250 0.250 0.250
0.750 0.750 0.750
0.500 0.500 0.500
0.000 0.000 0.000

***

Record 4
Sm2PuBi, relaxed, DFT PBE; ΔE to the lowest computed polymorph = 206.0 meV/atom
1.0
3.611 0.000 0.000
1.805 3.127 0.000
1.805 1.042 11.069
Bi Sm Pu
1 2 1
direct
0.000 0.000 0.000
0.251 0.251 0.246
0.749 0.749 0.754
0.500 0.500 0.500

***

Record 5
This record from Alexandria via LeMat-Bulk describes SmPuBi6 after structural relaxation. The functional is PBE.

POSCAR file:
```
SmPuBi6
1.0
-1.535 1.082 -4.250
-4.221 1.001 1.779
5.600 9.441 7.977
Sm Pu Bi
1 1 6
direct
0.294 0.500 0.362
0.707 0.000 0.639
0.463 0.500 0.141
0.528 0.000 0.853
0.164 0.500 0.609
0.847 0.000 0.398
0.031 0.500 0.856
0.966 0.000 0.142
```

***

Record 6
SmPuBi2, relaxed, DFT PBE; ΔE to the lowest computed polymorph = 123.3 meV/atom
1.0
-2.179 0.108 3.059
-0.376 -3.735 -0.136
6.821 -0.864 4.889
Bi Sm Pu
2 1 1
direct
0.000 0.000 0.750
0.000 0.000 0.250
0.500 0.500 0.000
0.500 0.500 0.500

***

Record 7
This record from Alexandria via LeMat-Bulk describes SmPu2Bi3 after structural relaxation. The functional is PBE.

POSCAR file:
```
SmPu2Bi3
1.0
4.193 0.000 -1.750
-1.244 5.550 -2.982
0.796 0.656 7.805
Sm Pu Bi
1 2 3
direct
0.500 0.000 0.000
0.166 0.666 0.332
0.834 0.334 0.668
0.500 0.500 0.000
0.169 0.169 0.338
0.831 0.831 0.662
```

***

Record 8
SmPuBi2, relaxed, DFT PBE; ΔE to the lowest computed polymorph = 98.1 meV/atom
1.0
-1.128 -0.091 4.385
-1.828 -3.736 1.791
6.012 -3.861 3.805
Sm Pu Bi
1 1 2
direct
0.498 0.498 0.506
0.669 0.669 0.994
0.081 0.081 0.757
0.252 0.252 0.243

***

Record 9
SmPuBi2, relaxed, DFT PBE; ΔE to the lowest computed polymorph = 0.0 meV/atom
1.0
-0.745 -3.854 -2.297
1.722 -3.924 1.523
-5.846 -3.763 3.708
Bi Sm Pu
2 1 1
direct
0.751 0.751 0.747
0.249 0.249 0.253
0.000 0.000 0.000
0.500 0.500 0.500

***

Record 10
Sm2PuBi, relaxed, DFT PBE; ΔE to the lowest computed polymorph = 0.0 meV/atom
1.0
4.643 0.000 0.000
0.000 5.030 0.000
0.000 0.000 5.030
Bi Sm Pu
1 2 1
direct
0.500 0.000 0.000
0.000 0.000 0.500
0.000 0.500 0.000
0.500 0.500 0.500

***

Record 11
This record from Alexandria via LeMat-Bulk describes Sm5PuBi4 after structural relaxation. The functional is PBE.

POSCAR file:
```
Sm5PuBi4
1.0
4.480 0.000 0.000
0.000 8.661 -0.681
-2.240 -1.949 9.500
Sm Pu Bi
5 1 4
direct
0.821 0.647 0.642
0.838 0.181 0.676
0.162 0.819 0.324
0.500 0.500 0.000
0.179 0.353 0.358
0.500 0.000 0.000
0.330 0.913 0.661
0.990 0.744 0.981
0.670 0.087 0.339
0.010 0.256 0.019
```

***

Record 12
This record from Alexandria via LeMat-Bulk describes TbSmPu2Bi4 after structural relaxation. The functional is PBE.

POSCAR file:
```
TbSmPu2Bi4
1.0
-1.858 1.733 3.751
3.019 -5.893 4.219
5.121 5.954 -0.214
Tb Sm Pu Bi
1 1 2 4
direct
0.000 0.000 0.000
0.500 0.500 0.000
0.500 0.000 0.500
0.000 0.500 0.500
0.500 0.248 0.250
0.500 0.752 0.750
0.000 0.247 0.748
0.000 0.753 0.252
```

***

no.,calculated formation energy (meV per atom),ρ (g/cm3)
1,-523,9.78
2,-255,12.43
3,-485,11.22
4,-98,10.01
5,-311,10.78
6,-499,11.33
7,-518,10.56
8,-525,9.91
9,-623,10.14
10,-304,10.66
11,-430,8.39
12,-611,10.29